1.
## Ba2YRuO6 (meta-GGA SCAN)

Data for a crystal of Ba2YRuO6 relaxed with PBEsol.

The calculation puts the total energy at -827.15 eV for the cell shown. As for the energy relative to the elements, uncorrected: -2.76 eV per atom.

The structure belongs to space group Fm-3m (No. 225); the cell edges are 8.3119, 8.3119 and 8.3119 Å and the angles 90.00°, 90.00° and 90.00°. The asymmetric unit holds Ba at (0.2500, 0.2500, 0.2500), Y at (0.0000, 0.0000, 0.0000), Ru at (0.0000, 0.0000, 0.5000) and O at (0.0000, 0.0000, 0.2654).

***

2.
## GdFeC2 (meta-GGA SCAN)

Data for a crystal of GdFeC2 relaxed with PBEsol.

The calculation puts the total energy at -195.89 eV for the cell shown. The energy of formation is -0.2003 eV per atom.

The structure belongs to space group Amm2 (No. 38); the cell edges are 3.6671, 4.5097 and 5.8282 Å and the angles 90.00°, 90.00° and 90.00°. The asymmetric unit holds Gd at (0.0000, 0.0000, 0.0000), Fe at (0.5000, 0.0000, 0.6084) and C at (0.5000, 0.1560, 0.2935).

***

3.
## KSc2Tl (meta-GGA SCAN)

Data for a crystal of KSc2Tl relaxed with PBEsol.

The calculation puts the total energy at -108.42 eV for the cell shown. The energy of formation is 0.1850 eV per atom. The calculation puts the energy above the most stable polymorph in this dataset at 0.72 eV per formula unit.

The structure belongs to space group P2/m (No. 10); the cell edges are 3.3411, 5.0370 and 6.9461 Å and the angles 90.00°, 102.34° and 90.00°. The asymmetric unit holds K at (0.0000, 0.0000, 0.0000), Sc at (0.3045, 0.5000, 0.6883) and Tl at (0.5000, 0.0000, 0.5000).

***

4.
## Li17Cu12 (meta-GGA SCAN)

Data for a crystal of Li17Cu12 relaxed with PBEsol.

The calculation puts the total energy at -446.66 eV for the cell shown. The energy of formation is -0.0107 eV per atom.

The structure belongs to space group I-43m (No. 217); the cell edges are 9.2655, 9.2655 and 9.2655 Å and the angles 90.00°, 90.00° and 90.00°. The asymmetric unit holds Li at (0.0000, 0.0000, 0.0000), Li at (0.0524, 0.3631, 0.6369), Li at (0.1741, 0.1741, 0.1741) and Cu at (0.0918, 0.0918, 0.7243).

***

5.
## CuSnB2Rh (meta-GGA SCAN)

Data for a crystal of CuSnB2Rh relaxed with PBEsol.

The calculation puts the total energy at -95.21 eV for the cell shown. The energy of formation is 0.9082 eV per atom.

The structure belongs to space group P4/mmm (No. 123); the cell edges are 3.7446, 3.7446 and 5.0779 Å and the angles 90.00°, 90.00° and 90.00°. The asymmetric unit holds Cu at (0.0000, 0.0000, 0.0000), Sn at (0.5000, 0.5000, 0.5000), B at (0.0000, 0.5000, 0.0000) and Rh at (0.0000, 0.0000, 0.5000).

***

6.
## Cs3ScN (meta-GGA SCAN)

Data for a crystal of Cs3ScN relaxed with PBEsol.

The calculation puts the total energy at -129.21 eV for the cell shown. As for the energy relative to the elements, uncorrected: 1.55 eV per atom.

The structure belongs to space group Pm-3m (No. 221); the cell edges are 7.4651, 7.4651 and 7.4651 Å and the angles 90.00°, 90.00° and 90.00°. The asymmetric unit holds Cs at (0.0000, 0.0000, 0.5000), Sc at (0.0000, 0.0000, 0.0000) and N at (0.5000, 0.5000, 0.5000).

***

7.
## Mg2ZrTa (meta-GGA SCAN)

Data for a crystal of Mg2ZrTa relaxed with PBEsol.

The calculation puts the total energy at -422.19 eV for the cell shown. The energy of formation is 0.4206 eV per atom. The calculation puts the energy above the most stable polymorph in this dataset at 1.26 eV per formula unit.

The structure belongs to space group Fm-3m (No. 225); the cell edges are 6.7875, 6.7875 and 6.7875 Å and the angles 90.00°, 90.00° and 90.00°. The asymmetric unit holds Mg at (0.2500, 0.2500, 0.2500), Zr at (0.0000, 0.0000, 0.0000) and Ta at (0.0000, 0.0000, 0.5000).

***

8.
## ZrTaMnI2 (meta-GGA SCAN)

Data for a crystal of ZrTaMnI2 relaxed with PBEsol.

The calculation puts the total energy at -183.28 eV for the cell shown. As for the energy relative to the elements, uncorrected: 1.15 eV per atom.

The structure belongs to space group P4/mmm (No. 123); the cell edges are 4.9637, 4.9637 and 4.5847 Å and the angles 90.00°, 90.00° and 90.00°. The asymmetric unit holds Zr at (0.0000, 0.0000, 0.0000), Ta at (0.5000, 0.5000, 0.0000), Mn at (0.5000, 0.5000, 0.5000) and I at (0.0000, 0.5000, 0.5000).

***

9.
## SrLi2Br (meta-GGA SCAN)

Data for a crystal of SrLi2Br relaxed with PBEsol.

The calculation puts the total energy at -97.57 eV for the cell shown. As for the energy relative to the elements, uncorrected: -0.57 eV per atom. The calculation puts the energy above the most stable polymorph in this dataset at 0.52 eV per formula unit.

The structure belongs to space group Imm2 (No. 44); the cell edges are 3.8508, 6.3135 and 10.3828 Å and the angles 90.00°, 90.00° and 90.00°. The asymmetric unit holds Sr at (0.0000, 0.0000, 0.0000), Li at (0.0000, 0.0000, 0.5975), Li at (0.0000, 0.5000, 0.8137) and Br at (0.0000, 0.5000, 0.2639).

***

10.
## In2ReTe (meta-GGA SCAN)

Data for a crystal of In2ReTe relaxed with PBEsol.

The calculation puts the total energy at -343.32 eV for the cell shown. As for the energy relative to the elements, uncorrected: 0.87 eV per atom.

The structure belongs to space group I4/mmm (No. 139); the cell edges are 4.2301, 4.2301 and 9.0710 Å and the angles 90.00°, 90.00° and 90.00°. The asymmetric unit holds In at (0.0000, 0.5000, 0.2500), Re at (0.0000, 0.0000, 0.0000) and Te at (0.0000, 0.0000, 0.5000).

***

11.
## BeAs2Rh (meta-GGA SCAN)

Data for a crystal of BeAs2Rh relaxed with PBEsol.

The calculation puts the total energy at -156.48 eV for the cell shown. The energy of formation is 0.0666 eV per atom.

The structure belongs to space group I4/mmm (No. 139); the cell edges are 4.1465, 4.1465 and 6.6553 Å and the angles 90.00°, 90.00° and 90.00°. The asymmetric unit holds Be at (0.0000, 0.0000, 0.0000), As at (0.0000, 0.5000, 0.2500) and Rh at (0.0000, 0.0000, 0.5000).

***

12.
## Li7RuN4 (meta-GGA SCAN)

Data for a crystal of Li7RuN4 relaxed with PBEsol.

The calculation puts the total energy at -757.05 eV for the cell shown. As for the energy relative to the elements, uncorrected: -0.49 eV per atom.

The structure belongs to space group P-43n (No. 218); the cell edges are 9.6292, 9.6292 and 9.6292 Å and the angles 90.00°, 90.00° and 90.00°. The asymmetric unit holds Li at (0.0000, 0.0000, 0.2636), Li at (0.0000, 0.0000, 0.5000), Li at (0.0000, 0.2500, 0.5000), Li at (0.0171, 0.2374, 0.7481), Li at (0.2342, 0.2342, 0.2342), Ru at (0.0000, 0.0000, 0.0000), Ru at (0.0000, 0.5000, 0.2500), N at (0.1133, 0.3783, 0.3612) and N at (0.1143, 0.1143, 0.1143).

***

13.
## YZr2W (meta-GGA SCAN)

Data for a crystal of YZr2W relaxed with PBEsol.

The calculation puts the total energy at -157.08 eV for the cell shown. The energy of formation is 0.4629 eV per atom. The calculation puts the energy above the most stable polymorph in this dataset at 0.77 eV per formula unit.

The structure belongs to space group P2/m (No. 10); the cell edges are 5.6817, 2.9164 and 5.6875 Å and the angles 90.00°, 116.80° and 90.00°. The asymmetric unit holds Y at (0.0000, 0.0000, 0.0000), Zr at (0.0000, 0.5000, 0.5000), Zr at (0.5000, 0.0000, 0.5000) and W at (0.5000, 0.5000, 0.0000).

***

14.
## Tc2MoP (meta-GGA SCAN)

Data for a crystal of Tc2MoP relaxed with PBEsol.

The calculation puts the total energy at -232.82 eV for the cell shown. The energy of formation is -0.2513 eV per atom.

The structure belongs to space group Immm (No. 71); the cell edges are 2.8795, 4.3351 and 8.6367 Å and the angles 90.00°, 90.00° and 90.00°. The asymmetric unit holds Tc at (0.0000, 0.0000, 0.2189), Mo at (0.0000, 0.5000, 0.0000) and P at (0.0000, 0.5000, 0.5000).

***

15.
## LaYNi2 (meta-GGA SCAN)

Data for a crystal of LaYNi2 relaxed with PBEsol.

The calculation puts the total energy at -206.97 eV for the cell shown. The energy of formation is -0.0477 eV per atom. The calculation puts the energy above the most stable polymorph in this dataset at 1.20 eV per formula unit.

The structure belongs to space group I-4m2 (No. 119); the cell edges are 3.9448, 3.9448 and 9.9345 Å and the angles 90.00°, 90.00° and 90.00°. The asymmetric unit holds La at (0.0000, 0.0000, 0.0000), Y at (0.0000, 0.5000, 0.7500), Ni at (0.0000, 0.0000, 0.5000) and Ni at (0.0000, 0.5000, 0.2500).

***

16.
## BaTiTl2Cu (meta-GGA SCAN)

Data for a crystal of BaTiTl2Cu relaxed with PBEsol.

The calculation puts the total energy at -214.87 eV for the cell shown. The energy of formation is 0.1248 eV per atom.

The structure belongs to space group P4/mmm (No. 123); the cell edges are 5.1080, 5.1080 and 5.0998 Å and the angles 90.00°, 90.00° and 90.00°. The asymmetric unit holds Ba at (0.0000, 0.0000, 0.0000), Ti at (0.5000, 0.5000, 0.0000), Tl at (0.0000, 0.5000, 0.5000) and Cu at (0.5000, 0.5000, 0.5000).

***

17.
## Zn4CrCl (meta-GGA SCAN)

Data for a crystal of Zn4CrCl relaxed with PBEsol.

The calculation puts the total energy at -316.84 eV for the cell shown. As for the energy relative to the elements, uncorrected: 0.20 eV per atom.

The structure belongs to space group F-43m (No. 216); the cell edges are 7.3274, 7.3274 and 7.3274 Å and the angles 90.00°, 90.00° and 90.00°. The asymmetric unit holds Zn at (0.1239, 0.1239, 0.1239), Cr at (0.2500, 0.2500, 0.7500) and Cl at (0.0000, 0.0000, 0.5000).

***

18.
## Zr3Sb4 (meta-GGA SCAN)

Data for a crystal of Zr3Sb4 relaxed with PBEsol.

The calculation puts the total energy at -491.26 eV for the cell shown. As for the energy relative to the elements, uncorrected: -0.64 eV per atom.

The structure belongs to space group I4/mmm (No. 139); the cell edges are 3.8035, 3.8035 and 21.8413 Å and the angles 90.00°, 90.00° and 90.00°. The asymmetric unit holds Zr at (0.0000, 0.0000, 0.0000), Zr at (0.0000, 0.0000, 0.2921), Sb at (0.0000, 0.0000, 0.1549) and Sb at (0.0000, 0.0000, 0.4320).

***

19.
## Sc2Zn2Au (meta-GGA SCAN)

Data for a crystal of Sc2Zn2Au relaxed with PBEsol.

The calculation puts the total energy at -255.51 eV for the cell shown. The energy of formation is -0.6191 eV per atom.

The structure belongs to space group P4/mbm (No. 127); the cell edges are 6.8665, 6.8665 and 3.7163 Å and the angles 90.00°, 90.00° and 90.00°. The asymmetric unit holds Sc at (0.1719, 0.3281, 0.0000), Zn at (0.1277, 0.6277, 0.5000) and Au at (0.0000, 0.0000, 0.5000).

***

20.
## Sm3Ho (meta-GGA SCAN)

Data for a crystal of Sm3Ho relaxed with PBEsol.

The calculation puts the total energy at -182.26 eV for the cell shown. The energy of formation is 0.0134 eV per atom. The calculation puts the energy above the most stable polymorph in this dataset at 0.00 eV per formula unit.

The structure belongs to space group Pm-3m (No. 221); the cell edges are 4.9769, 4.9769 and 4.9769 Å and the angles 90.00°, 90.00° and 90.00°. The asymmetric unit holds Sm at (0.0000, 0.0000, 0.5000) and Ho at (0.5000, 0.5000, 0.5000).

***

21.
## CsHfBi2 (meta-GGA SCAN)

Data for a crystal of CsHfBi2 relaxed with PBEsol.

The calculation puts the total energy at -1024.52 eV for the cell shown. The energy of formation is 0.3779 eV per atom.

The structure belongs to space group Fm-3m (No. 225); the cell edges are 7.8512, 7.8512 and 7.8512 Å and the angles 90.00°, 90.00° and 90.00°. The asymmetric unit holds Cs at (0.0000, 0.0000, 0.0000), Hf at (0.0000, 0.0000, 0.5000) and Bi at (0.2500, 0.2500, 0.2500).

***

22.
## K4ZnRu (meta-GGA SCAN)

Data for a crystal of K4ZnRu relaxed with PBEsol.

The calculation puts the total energy at -300.95 eV for the cell shown. The energy of formation is 1.0698 eV per atom.

The structure belongs to space group F-43m (No. 216); the cell edges are 9.4955, 9.4955 and 9.4955 Å and the angles 90.00°, 90.00° and 90.00°. The asymmetric unit holds K at (0.1241, 0.1241, 0.3759), Zn at (0.0000, 0.0000, 0.0000) and Ru at (0.2500, 0.2500, 0.7500).